# PBE-GGA CdSbPb2, relaxed
data_CdSbPb2
_chemical_formula_sum 'Cd2 Sb2 Pb4'
_cell_length_a 11.9639
_cell_length_b 3.4276
_cell_length_c 5.9802
_cell_angle_alpha 90.00
_cell_angle_beta 108.89
_cell_angle_gamma 90.00
_symmetry_space_group_name_H-M 'C 1 m 1'
_symmetry_Int_Tables_number 8
_symmetry_space_group_name_Hall 'C -2y'
loop_
_atom_site_label
_atom_site_fract_x
_atom_site_fract_y
_atom_site_fract_z
Cd1 0.0000 0.0000 0.0000
Sb1 0.2121 0.5000 0.3380
Pb1 0.2515 0.0000 0.8571
Pb2 0.4703 0.0000 0.5007
# VASP energy = -24.4 eV for the cell shown
# Theoretical density = 9283 kg/m³
# Magnetic moment = 0.00 μB/f.u.

# PBE-GGA CdSb2Pb2, relaxed
data_CdSb2Pb2
_chemical_formula_sum 'Cd2 Sb4 Pb4'
_cell_length_a 8.6723
_cell_length_b 8.6723
_cell_length_c 4.0784
_cell_angle_alpha 90.00
_cell_angle_beta 90.00
_cell_angle_gamma 90.00
_symmetry_space_group_name_H-M 'P 4/m b m'
_symmetry_Int_Tables_number 127
_symmetry_space_group_name_Hall '-P 4 2ab'
loop_
_atom_site_label
_atom_site_fract_x
_atom_site_fract_y
_atom_site_fract_z
Cd1 0.0000 0.0000 0.0000
Sb1 0.1572 0.3428 0.0000
Pb1 0.1450 0.6450 0.5000
# VASP energy = -32.0 eV for the cell shown
# Theoretical density = 8341 kg/m³
# Magnetic moment = 0.00 μB/f.u.

# PBE-GGA CdSb2Pb, relaxed
data_CdSb2Pb
_chemical_formula_sum 'Cd1 Sb2 Pb1'
_cell_length_a 3.3567
_cell_length_b 5.0143
_cell_length_c 6.8541
_cell_angle_alpha 90.00
_cell_angle_beta 104.01
_cell_angle_gamma 90.00
_symmetry_space_group_name_H-M 'P 1 2/m 1'
_symmetry_Int_Tables_number 10
_symmetry_space_group_name_Hall '-P 2y'
loop_
_atom_site_label
_atom_site_fract_x
_atom_site_fract_y
_atom_site_fract_z
Cd1 0.0000 0.0000 0.0000
Sb1 0.4610 0.5000 0.2312
Pb1 0.0000 0.0000 0.5000
# VASP energy = -12.4 eV for the cell shown
# Theoretical density = 8354 kg/m³
# Magnetic moment = 0.00 μB/f.u.

# PBE-GGA CdSb2Pb, relaxed
data_CdSb2Pb
_chemical_formula_sum 'Cd2 Sb4 Pb2'
_cell_length_a 4.1454
_cell_length_b 5.0905
_cell_length_c 10.5071
_cell_angle_alpha 90.00
_cell_angle_beta 90.00
_cell_angle_gamma 90.00
_symmetry_space_group_name_H-M 'C m m 2'
_symmetry_Int_Tables_number 35
_symmetry_space_group_name_Hall 'C 2 -2'
loop_
_atom_site_label
_atom_site_fract_x
_atom_site_fract_y
_atom_site_fract_z
Cd1 0.0000 0.0000 0.0000
Sb1 0.0000 0.0000 0.4957
Sb2 0.0000 0.5000 0.2262
Pb1 0.0000 0.5000 0.7518
# VASP energy = -24.6 eV for the cell shown
# Theoretical density = 8435 kg/m³
# Magnetic moment = 0.00 μB/f.u.

no.,formation energy from raw total energies (kJ per mole of atoms)
1,6
2,11
3,12
4,14